VASP calculation (PBE) on an optimized crystal structure of SrCl2.

The structure in POSCAR format:
```
SrCl2
1.0
4.227 0.000 0.000
-2.113 3.660 0.000
0.000 0.000 13.647
Sr Cl
2 4
Cartesian
0.000 0.000 3.412 Sr
0.000 0.000 10.235 Sr
0.000 2.440 1.758 Cl
0.000 2.440 5.066 Cl
2.113 1.220 8.581 Cl
2.113 1.220 11.890 Cl
```

The calculation puts the formation energy (no corrections) at -2.2933 eV per atom.